This record from Alexandria via LeMat-Bulk describes crystalline Ag3PtAu6 at its relaxed geometry. The functional is GGA-PBE.

Results
M_tot, μB/atom: 0.000
Volume, Å³/atom: 18.2
Electronic total energy, eV per atom: -3.411
Crystal system: triclinic
Energy above the most stable polymorph in this dataset, meV per atom: 0
Formation energy from the elements, eV/atom: 0.02

Cell lengths 8.280, 8.298, 7.460 Å; angles 107.23, 101.76, 123.12 degrees
Fractional coordinates of all 20 atoms:
Ag: 0.468 0.051 0.833
Ag: 0.532 0.949 0.167
Ag: 0.025 0.765 0.488
Ag: 0.975 0.235 0.512
Ag: 0.783 0.546 0.016
Ag: 0.217 0.454 0.984
Au: 0.339 0.265 0.679
Au: 0.408 0.657 0.750
Au: 0.218 0.971 0.259
Au: 0.085 0.661 0.823
Au: 0.782 0.029 0.741
Au: 0.150 0.063 0.912
Au: 0.850 0.937 0.088
Au: 0.661 0.735 0.321
Au: 0.341 0.755 0.405
Au: 0.592 0.343 0.250
Au: 0.659 0.245 0.595
Au: 0.915 0.339 0.177
Pt: 0.287 0.370 0.337
Pt: 0.713 0.630 0.663